Here is a geometry-optimized Ag7Te3Cl structure from Alexandria. Energies are from PBE-GGA.

- VASP energy (eV/cell) = -32.08
- V (A^3/atom) = 26.06
- energy relative to the elements, uncorrected (eV/atom) = -0.077

a = 6.8069 Å, b = 6.8069 Å, c = 7.8356 Å
α = 63.98°, β = 63.98°, γ = 88.67°
Closest atoms and distances in Å follow each position.
Fractional coordinates of all 11 atoms:
Te  0.2306  0.7069  0.5076  6 Ag 2.77-2.96
Te  0.5340  0.5340  0.0215  7 Ag 2.80-3.07
Te  0.7069  0.2306  0.5076  6 Ag 2.77-2.96
Ag  0.5748  0.0928  0.2562  3 Te 2.82-2.96, 1 Cl 2.86, 3 Ag 2.91-3.14
Ag  0.9168  0.9168  0.6932  3 Te 2.77-2.96, 3 Ag 2.93-3.05
Ag  0.3251  0.8546  0.7629  1 Cl 2.87, 4 Ag 2.88-3.14, 3 Te 2.89-3.07
Ag  0.4712  0.4712  0.7180  3 Te 2.80-2.81, 2 Ag 2.88
Ag  0.1680  0.1680  0.2206  1 Cl 2.72, 1 Te 2.88, 3 Ag 2.91-2.93
Ag  0.0928  0.5748  0.2562  3 Te 2.82-2.96, 1 Cl 2.86, 3 Ag 2.91-3.14
Ag  0.8546  0.3251  0.7629  1 Cl 2.87, 4 Ag 2.88-3.14, 3 Te 2.89-3.07
Cl  0.0002  0.0002  0.0432  5 Ag 2.72-2.87

Here is a geometry-optimized Ni8Sb2H structure from Alexandria. Energies are from PBE-GGA.

- VASP energy (eV/cell) = -58.04
- V (A^3/atom) = 11.90

a = 4.2907 Å, b = 5.2660 Å, c = 6.7070 Å
α = 112.96°, β = 108.65°, γ = 90.00°
Closest atoms and distances in Å follow each position.
Fractional coordinates of all 11 atoms:
Sb  0.8184  0.3183  0.6369  12 Ni 2.53-2.72
Sb  0.1816  0.6817  0.3631  12 Ni 2.53-2.72
Ni  0.6110  0.3524  0.2219  1 H 1.81
Ni  0.0000  0.2318  0.9999  7 Ni 2.44-2.53, 2 H 2.47, 2 Sb 2.53-2.54
Ni  0.0000  0.7682  0.0001  7 Ni 2.44-2.53, 2 H 2.47, 2 Sb 2.53-2.54
Ni  0.3889  0.1255  0.7778  1 H 1.79
Ni  0.6111  0.8745  0.2222  1 H 1.79
Ni  0.8087  0.8086  0.6175  8 Ni 2.53-2.67, 4 Sb 2.60-2.64
Ni  0.1913  0.1914  0.3825  8 Ni 2.53-2.67, 4 Sb 2.60-2.64
Ni  0.3890  0.6476  0.7781  1 H 1.81
H  0.5000  0.0000  0.0000  4 Ni 1.79-1.81

Here is a geometry-optimized HoAg2GeSe4 structure from Alexandria. Energies are from PBE-GGA.

- VASP energy (eV/cell) = -66.83
- V (A^3/atom) = 28.82
- energy relative to the elements, uncorrected (eV/atom) = -0.572

a = 6.9815 Å, b = 7.6037 Å, c = 8.6851 Å
α = 90.00°, β = 90.00°, γ = 90.00°
Closest atoms and distances in Å follow each position.
Fractional coordinates of all 16 atoms:
Se  0.8682  0.8645  0.0000  1 Ge 2.57, 2 Ag 2.66, 1 Ho 2.75
Se  0.3548  0.1724  0.0000  1 Ge 2.53, 2 Ag 2.69, 1 Ho 2.73
Se  0.3884  0.6449  0.7372  1 Ge 2.55, 2 Ag 2.64-2.76, 1 Ho 2.75
Se  0.8884  0.3551  0.7628  1 Ge 2.55, 2 Ag 2.64-2.76, 1 Ho 2.75
Se  0.3884  0.6449  0.2628  1 Ge 2.55, 2 Ag 2.64-2.76, 1 Ho 2.75
Se  0.8884  0.3551  0.2372  1 Ge 2.55, 2 Ag 2.64-2.76, 1 Ho 2.75
Se  0.8548  0.8276  0.5000  1 Ge 2.53, 2 Ag 2.69, 1 Ho 2.73
Se  0.3682  0.1355  0.5000  1 Ge 2.57, 2 Ag 2.66, 1 Ho 2.75
Ag  0.0161  0.6988  0.7575  4 Se 2.64-2.76
Ag  0.5161  0.3012  0.2575  4 Se 2.64-2.76
Ag  0.5161  0.3012  0.7425  4 Se 2.64-2.76
Ag  0.0161  0.6988  0.2425  4 Se 2.64-2.76
Ge  0.4918  0.8175  0.5000  4 Se 2.53-2.57
Ge  0.9918  0.1825  0.0000  4 Se 2.53-2.57
Ho  0.4761  0.8311  0.0000  4 Se 2.73-2.75
Ho  0.9761  0.1689  0.5000  4 Se 2.73-2.75

Here is a geometry-optimized ReSn structure from Alexandria. Energies are from PBE-GGA.

- ΔH_f (0 K) (eV per atom) = 0.392
- distance to the lowest polymorph of the same formula (meV/atom) = 37
- VASP energy (eV/cell) = -125.33
- V (A^3/atom) = 20.39

a = 6.8544 Å, b = 7.3582 Å, c = 6.4669 Å
α = 90.00°, β = 90.00°, γ = 90.00°
Closest atoms and distances in Å follow each position.
Fractional coordinates of all 16 atoms:
Sn  0.1796  0.7694  0.0854  6 Re 2.82-3.03, 1 Sn 2.97
Sn  0.6796  0.7306  0.9146  6 Re 2.82-3.03, 1 Sn 2.97
Sn  0.8204  0.2694  0.4146  6 Re 2.82-3.03, 1 Sn 2.97
Sn  0.3204  0.2306  0.5854  6 Re 2.82-3.03, 1 Sn 2.97
Sn  0.5918  0.9326  0.3406  3 Re 2.72-2.83, 1 Sn 2.97
Sn  0.9082  0.0674  0.8406  3 Re 2.72-2.83, 1 Sn 2.97
Sn  0.4082  0.4326  0.1594  3 Re 2.72-2.83, 1 Sn 2.97
Sn  0.0918  0.5674  0.6594  3 Re 2.72-2.83, 1 Sn 2.97
Re  0.5423  0.5613  0.5458  3 Re 2.54-2.65, 1 Sn 2.83
Re  0.3435  0.8538  0.6607  3 Re 2.54-2.65, 3 Sn 2.72-2.82
Re  0.9577  0.4387  0.0458  3 Re 2.54-2.65, 1 Sn 2.83
Re  0.1565  0.1462  0.1607  3 Re 2.54-2.65, 3 Sn 2.72-2.82
Re  0.4577  0.0613  0.9542  3 Re 2.54-2.65, 1 Sn 2.83
Re  0.8435  0.6462  0.3393  3 Re 2.54-2.65, 3 Sn 2.72-2.82
Re  0.0423  0.9387  0.4542  3 Re 2.54-2.65, 1 Sn 2.83
Re  0.6565  0.3538  0.8393  3 Re 2.54-2.65, 3 Sn 2.72-2.82

Here is a geometry-optimized KTlSn structure from Alexandria. Energies are from PBE-GGA.

- ΔH_f (0 K) (eV per atom) = -0.184
- VASP energy (eV/cell) = -16.04
- V (A^3/atom) = 35.95

a = 4.8000 Å, b = 5.1867 Å, c = 8.6648 Å
α = 90.00°, β = 90.00°, γ = 90.00°
Closest atoms and distances in Å follow each position.
Fractional coordinates of all 6 atoms:
Sn  0.5000  0.0000  0.0958  2 Sn 3.06, 2 Tl 3.18
Sn  0.0000  0.0000  0.8763  2 Sn 3.06, 2 Tl 3.31
Tl  0.0000  0.5000  0.6399  2 Tl 3.20, 2 Sn 3.31
Tl  0.5000  0.5000  0.8834  6 Sn 3.18-3.53, 2 Tl 3.20
K  0.0000  0.5000  0.2111  6 Sn 3.67-3.89, 3 Tl 3.71-3.72
K  0.5000  0.0000  0.5394  6 Tl 3.64-3.95, 3 Sn 3.78-3.84

Here is a geometry-optimized Sr2Cd2SnPd5 structure from Alexandria. Energies are from PBE-GGA.

- ΔH_f (0 K) (eV per atom) = -0.504
- VASP energy (eV/cell) = -80.40
- V (A^3/atom) = 21.26

a = 3.8208 Å, b = 10.5483 Å, c = 10.5483 Å
α = 90.00°, β = 90.00°, γ = 90.00°
Closest atoms and distances in Å follow each position.
Fractional coordinates of all 20 atoms:
Pd  0.5000  0.0000  0.5000  4 Cd 2.69
Pd  0.5000  0.9417  0.1922  2 Cd 2.79, 2 Sn 2.85, 2 Pd 3.00
Pd  0.5000  0.3078  0.5583  2 Cd 2.79, 2 Sn 2.85, 2 Pd 3.00
Pd  0.5000  0.0583  0.8078  2 Cd 2.79, 2 Sn 2.85, 2 Pd 3.00
Pd  0.5000  0.6922  0.4417  2 Cd 2.79, 2 Sn 2.85, 2 Pd 3.00
Pd  0.5000  0.8078  0.9417  2 Cd 2.79, 2 Sn 2.85, 2 Pd 3.00
Pd  0.5000  0.5583  0.6922  2 Cd 2.79, 2 Sn 2.85, 2 Pd 3.00
Pd  0.5000  0.5000  0.0000  4 Cd 2.69
Pd  0.5000  0.4417  0.3078  2 Cd 2.79, 2 Sn 2.85, 2 Pd 3.00
Pd  0.5000  0.1922  0.0583  2 Cd 2.79, 2 Sn 2.85, 2 Pd 3.00
Cd  0.0000  0.8729  0.3729  6 Pd 2.69-2.79, 1 Sr 2.99
Cd  0.0000  0.3729  0.1271  6 Pd 2.69-2.79, 1 Sr 2.99
Cd  0.0000  0.1271  0.6271  6 Pd 2.69-2.79, 1 Sr 2.99
Cd  0.0000  0.6271  0.8729  6 Pd 2.69-2.79, 1 Sr 2.99
Sr  0.0000  0.3274  0.8274  3 Cd 2.99-3.20, 2 Pd 3.21
Sr  0.0000  0.8274  0.6726  3 Cd 2.99-3.20, 2 Pd 3.21
Sr  0.0000  0.6726  0.1726  3 Cd 2.99-3.20, 2 Pd 3.21
Sr  0.0000  0.1726  0.3274  3 Cd 2.99-3.20, 2 Pd 3.21
Sn  0.0000  0.0000  0.0000  8 Pd 2.85
Sn  0.0000  0.5000  0.5000  8 Pd 2.85

Here is a geometry-optimized KBaLi2Au structure from Alexandria. Energies are from PBE-GGA.

- ΔH_f (0 K) (eV per atom) = -0.123
- VASP energy (eV/cell) = -10.74
- V (A^3/atom) = 37.82

a = 5.5422 Å, b = 5.5422 Å, c = 6.1570 Å
α = 90.00°, β = 90.00°, γ = 90.00°
Closest atoms and distances in Å follow each position.
Fractional coordinates of all 5 atoms:
Au  0.0000  0.0000  0.0000  4 Li 2.77, 2 Ba 3.08
Li  0.0000  0.5000  0.0000  2 Au 2.77
Li  0.5000  0.0000  0.0000  2 Au 2.77
K  0.5000  0.5000  0.5000  4 Ba 3.92, 8 Li 4.14
Ba  0.0000  0.0000  0.5000  2 Au 3.08

Here is a geometry-optimized EuGe2Os structure from Alexandria. Energies are from PBE-GGA.

- ΔH_f (0 K) (eV per atom) = -0.331
- VASP energy (eV/cell) = -32.06
- V (A^3/atom) = 20.24

a = 4.2210 Å, b = 4.2210 Å, c = 5.7854 Å
α = 68.60°, β = 68.60°, γ = 60.00°
Closest atoms and distances in Å follow each position.
Fractional coordinates of all 4 atoms:
Ge  0.2162  0.2162  0.3514  3 Os 2.56
Ge  0.7838  0.7838  0.6486  3 Os 2.56
Eu  0.0000  0.0000  0.0000  8 Ge 3.06-3.40
Os  0.5000  0.5000  0.5000  6 Ge 2.56

Here is a geometry-optimized Zr3BiH structure from Alexandria. Energies are from PBE-GGA.

- distance to the lowest polymorph of the same formula (meV/atom) = 154
- VASP energy (eV/cell) = -67.64
- V (A^3/atom) = 19.67

a = 3.4282 Å, b = 7.7201 Å, c = 7.7201 Å
α = 74.30°, β = 90.00°, γ = 90.00°
Closest atoms and distances in Å follow each position.
Fractional coordinates of all 10 atoms:
H  0.3631  0.6941  0.2465  6 Zr 2.28-2.35
H  0.3633  0.1941  0.7465  6 Zr 2.28-2.35
Zr  0.8631  0.6131  0.0891  2 H 2.28
Zr  0.8632  0.0368  0.6653  2 H 2.28
Zr  0.3632  0.9657  0.0180  2 H 2.35
Zr  0.3633  0.4227  0.4749  2 H 2.35
Zr  0.8633  0.7752  0.4038  2 H 2.28
Zr  0.8634  0.3515  0.8275  2 H 2.28
Bi  0.8632  0.1942  0.2464  8 Zr 3.13-3.29, 2 Bi 3.43
Bi  0.3632  0.6942  0.7464  10 Zr 3.07-3.34, 2 Bi 3.43

Here is a geometry-optimized CuRe2AgO8 structure from Alexandria. Energies are from PBE-GGA.

- VASP energy (eV/cell) = -86.42
- V (A^3/atom) = 17.65
- energy relative to the elements, uncorrected (eV/atom) = -1.242

a = 5.6557 Å, b = 7.4680 Å, c = 6.5222 Å
α = 60.82°, β = 64.31°, γ = 67.75°
Closest atoms and distances in Å follow each position.
Fractional coordinates of all 12 atoms:
O  0.1113  0.0834  0.1880  1 Re 1.77
O  0.8887  0.9166  0.8120  1 Re 1.77
O  0.6693  0.5419  0.1195  1 Re 1.78
O  0.1321  0.3271  0.4087  1 Re 1.74
O  0.8679  0.6729  0.5913  1 Re 1.74
O  0.3307  0.4581  0.8805  1 Re 1.78
O  0.6173  0.0834  0.1880  1 Re 1.77
O  0.3827  0.9166  0.8120  1 Re 1.77
Cu  0.0000  0.0000  0.0000  4 O 2.00
Re  0.7037  0.7615  0.8311  4 O 1.74-1.78
Re  0.2963  0.2385  0.1689  4 O 1.74-1.78
Ag  0.5000  0.5000  0.5000  2 O 2.14

- Which formula does entry 10 have?
  CuRe2AgO8

What did the third record say?
Here is a geometry-optimized HoAg2GeSe4 structure from Alexandria. Energies are from PBE-GGA.

- VASP energy (eV/cell) = -66.83
- V (A^3/atom) = 28.82
- energy relative to the elements, uncorrected (eV/atom) = -0.572

a = 6.9815 Å, b = 7.6037 Å, c = 8.6851 Å
α = 90.00°, β = 90.00°, γ = 90.00°
Closest atoms and distances in Å follow each position.
Fractional coordinates of all 16 atoms:
Se  0.8682  0.8645  0.0000  1 Ge 2.57, 2 Ag 2.66, 1 Ho 2.75
Se  0.3548  0.1724  0.0000  1 Ge 2.53, 2 Ag 2.69, 1 Ho 2.73
Se  0.3884  0.6449  0.7372  1 Ge 2.55, 2 Ag 2.64-2.76, 1 Ho 2.75
Se  0.8884  0.3551  0.7628  1 Ge 2.55, 2 Ag 2.64-2.76, 1 Ho 2.75
Se  0.3884  0.6449  0.2628  1 Ge 2.55, 2 Ag 2.64-2.76, 1 Ho 2.75
Se  0.8884  0.3551  0.2372  1 Ge 2.55, 2 Ag 2.64-2.76, 1 Ho 2.75
Se  0.8548  0.8276  0.5000  1 Ge 2.53, 2 Ag 2.69, 1 Ho 2.73
Se  0.3682  0.1355  0.5000  1 Ge 2.57, 2 Ag 2.66, 1 Ho 2.75
Ag  0.0161  0.6988  0.7575  4 Se 2.64-2.76
Ag  0.5161  0.3012  0.2575  4 Se 2.64-2.76
Ag  0.5161  0.3012  0.7425  4 Se 2.64-2.76
Ag  0.0161  0.6988  0.2425  4 Se 2.64-2.76
Ge  0.4918  0.8175  0.5000  4 Se 2.53-2.57
Ge  0.9918  0.1825  0.0000  4 Se 2.53-2.57
Ho  0.4761  0.8311  0.0000  4 Se 2.73-2.75
Ho  0.9761  0.1689  0.5000  4 Se 2.73-2.75

- Which value of V does entry 9 give?
  19.67 A^3/atom